Below is an optimized crystal structure of CsBr2F11, with properties calculated at the PBE level.

Size of the total moment in μB per formula unit: 0.0
E_form (uncorrected) in eV per atom: -1.31
D(E_F) in states/eV/f.u.: 0.00
SG: Ibam

```
data_CsBr2F11
_cell_length_a 9.942
_cell_length_b 9.278
_cell_length_c 9.278
_cell_angle_alpha 66.57
_cell_angle_beta 57.60
_cell_angle_gamma 57.60
_space_group_name_H-M_alt 'P 1'
_space_group_IT_number 1
loop_
_space_group_symop_operation_xyz
'x,y,z'
loop_
_atom_site_label
_atom_site_fract_x
_atom_site_fract_y
_atom_site_fract_z
Br1 0.146 0.843 0.157
F1 0.860 0.966 0.812
F2 0.140 0.034 0.188
F3 0.942 0.861 0.361
F4 0.640 0.688 0.534
F5 0.500 0.500 0.500
Cs1 0.250 0.250 0.250
F6 0.336 0.361 0.861
F7 0.234 0.211 0.789
F8 0.664 0.639 0.139
F9 0.360 0.312 0.466
F10 0.862 0.466 0.312
F11 0.638 0.188 0.034
F12 0.362 0.812 0.966
Br2 0.646 0.657 0.343
F13 0.836 0.361 0.861
F14 0.266 0.711 0.289
Cs2 0.750 0.750 0.750
Br3 0.354 0.343 0.657
F15 0.734 0.289 0.711
F16 0.442 0.861 0.361
F17 0.138 0.534 0.688
F18 0.558 0.139 0.639
F19 0.766 0.789 0.211
F20 0.164 0.639 0.139
F21 0.058 0.139 0.639
F22 0.000 0.000 0.000
Br4 0.854 0.157 0.843
```

***

Below is an optimized crystal structure of CsBrF, with properties calculated at the PBE level.

Energy relative to the lowest polymorph listed for this composition in meV/atom: 0
Size of the total moment in μB per formula unit: 0.0
E_form (uncorrected) in eV per atom: -1.82
D(E_F) in states/eV/f.u.: 0.00
SG: I4/mmm

```
data_CsBrF
_cell_length_a 10.502
_cell_length_b 10.502
_cell_length_c 10.502
_cell_angle_alpha 155.76
_cell_angle_beta 155.76
_cell_angle_gamma 34.54
_space_group_name_H-M_alt 'P 1'
_space_group_IT_number 1
loop_
_space_group_symop_operation_xyz
'x,y,z'
loop_
_atom_site_label
_atom_site_fract_x
_atom_site_fract_y
_atom_site_fract_z
Cs1 0.669 0.669 0.000
F1 0.184 0.184 0.000
Br1 0.060 0.060 0.000
Br2 0.940 0.940 0.000
Cs2 0.331 0.331 0.000
F2 0.816 0.816 0.000
```

***

Below is an optimized crystal structure of CsBrF, with properties calculated at the PBE level.

Energy relative to the lowest polymorph listed for this composition in meV/atom: 202
Size of the total moment in μB per formula unit: 0.0
E_form (uncorrected) in eV per atom: -1.61
D(E_F) in states/eV/f.u.: 1.44
SG: P-6m2

```
data_CsBrF
_cell_length_a 5.122
_cell_length_b 5.122
_cell_length_c 4.900
_cell_angle_alpha 90.00
_cell_angle_beta 90.00
_cell_angle_gamma 120.00
_space_group_name_H-M_alt 'P 1'
_space_group_IT_number 1
loop_
_space_group_symop_operation_xyz
'x,y,z'
loop_
_atom_site_label
_atom_site_fract_x
_atom_site_fract_y
_atom_site_fract_z
Br1 0.000 0.000 0.500
Cs1 0.667 0.333 0.000
F1 0.000 0.000 0.000
```

***

Below is an optimized crystal structure of CsBr2F, with properties calculated at the PBE level.

Energy relative to the lowest polymorph listed for this composition in meV/atom: 761
Size of the total moment in μB per formula unit: 2.0
E_form (uncorrected) in eV per atom: -0.61
D(E_F) in states/eV/f.u.: 11.89
SG: Fm-3m

```
data_CsBr2F
_cell_length_a 5.815
_cell_length_b 5.815
_cell_length_c 5.815
_cell_angle_alpha 60.00
_cell_angle_beta 60.00
_cell_angle_gamma 60.00
_space_group_name_H-M_alt 'P 1'
_space_group_IT_number 1
loop_
_space_group_symop_operation_xyz
'x,y,z'
loop_
_atom_site_label
_atom_site_fract_x
_atom_site_fract_y
_atom_site_fract_z
F1 0.000 0.000 0.000
Br1 0.750 0.750 0.750
Br2 0.250 0.250 0.250
Cs1 0.500 0.500 0.500
```

***

Below is an optimized crystal structure of CsBr2F2, with properties calculated at the PBE level.

Energy relative to the lowest polymorph listed for this composition in meV/atom: 92
Size of the total moment in μB per formula unit: 1.0
E_form (uncorrected) in eV per atom: -0.92
D(E_F) in states/eV/f.u.: 3.70
SG: I4/mmm

```
data_CsBr2F2
_cell_length_a 5.173
_cell_length_b 5.173
_cell_length_c 6.150
_cell_angle_alpha 65.13
_cell_angle_beta 65.13
_cell_angle_gamma 90.00
_space_group_name_H-M_alt 'P 1'
_space_group_IT_number 1
loop_
_space_group_symop_operation_xyz
'x,y,z'
loop_
_atom_site_label
_atom_site_fract_x
_atom_site_fract_y
_atom_site_fract_z
Br1 0.384 0.384 0.232
F1 0.250 0.750 0.500
F2 0.750 0.250 0.500
Cs1 0.000 0.000 0.000
Br2 0.616 0.616 0.768
```

***

Below is an optimized crystal structure of Cs12Br5F3, with properties calculated at the PBE level.

Size of the total moment in μB per formula unit: 0.9
E_form (uncorrected) in eV per atom: -1.41
D(E_F) in states/eV/f.u.: 5.92
SG: Ia-3d

```
data_Cs12Br5F3
_cell_length_a 18.066
_cell_length_b 18.066
_cell_length_c 18.066
_cell_angle_alpha 109.47
_cell_angle_beta 109.47
_cell_angle_gamma 109.47
_space_group_name_H-M_alt 'P 1'
_space_group_IT_number 1
loop_
_space_group_symop_operation_xyz
'x,y,z'
loop_
_atom_site_label
_atom_site_fract_x
_atom_site_fract_y
_atom_site_fract_z
F1 0.125 0.875 0.750
Cs1 0.121 0.380 0.051
Br1 0.375 0.125 0.750
Br2 0.000 0.000 0.500
Cs2 0.449 0.069 0.329
Cs3 0.741 0.121 0.069
Cs4 0.829 0.949 0.069
Cs5 0.621 0.551 0.880
Cs6 0.569 0.329 0.949
Br3 0.125 0.750 0.375
Cs7 0.379 0.449 0.120
Cs8 0.120 0.949 0.379
Cs9 0.879 0.620 0.949
F2 0.625 0.250 0.375
Cs10 0.949 0.829 0.569
F3 0.125 0.250 0.875
Cs11 0.121 0.741 0.569
Br4 0.500 0.000 0.000
Cs12 0.241 0.671 0.120
Cs13 0.620 0.741 0.671
Cs14 0.259 0.380 0.829
Cs15 0.551 0.931 0.671
F4 0.750 0.875 0.625
Br5 0.625 0.750 0.875
Cs16 0.931 0.379 0.259
Br6 0.000 0.500 0.500
F5 0.250 0.625 0.875
Br7 0.125 0.375 0.250
Cs17 0.051 0.171 0.431
Cs18 0.759 0.329 0.880
Br8 0.250 0.875 0.125
Cs19 0.621 0.069 0.241
Cs20 0.741 0.620 0.171
Cs21 0.329 0.569 0.449
Br9 0.750 0.125 0.875
Cs22 0.949 0.120 0.879
Cs23 0.759 0.431 0.379
Cs24 0.671 0.241 0.620
Cs25 0.380 0.259 0.329
Br10 0.375 0.250 0.125
F6 0.625 0.375 0.750
Cs26 0.241 0.569 0.621
F7 0.875 0.125 0.250
Cs27 0.379 0.931 0.759
Cs28 0.259 0.879 0.931
Br11 0.500 0.500 0.000
Cs29 0.880 0.829 0.759
F8 0.375 0.750 0.625
Cs30 0.620 0.879 0.449
Br12 0.000 0.500 0.000
Cs31 0.671 0.431 0.551
Br13 0.500 0.000 0.500
Cs32 0.449 0.379 0.620
Cs33 0.069 0.449 0.829
Br14 0.875 0.625 0.750
Br15 0.000 0.000 0.000
Cs34 0.569 0.241 0.121
Cs35 0.931 0.551 0.171
Cs36 0.171 0.051 0.931
Cs37 0.069 0.621 0.741
Br16 0.750 0.625 0.375
Cs38 0.171 0.120 0.741
F9 0.375 0.625 0.250
Cs39 0.431 0.671 0.051
Cs40 0.879 0.259 0.431
Cs41 0.829 0.880 0.259
Cs42 0.329 0.759 0.380
F10 0.250 0.125 0.375
Cs43 0.051 0.880 0.121
Cs44 0.431 0.759 0.879
Br17 0.875 0.250 0.625
F11 0.875 0.750 0.125
Cs45 0.880 0.051 0.621
Br18 0.250 0.375 0.625
F12 0.750 0.375 0.125
Cs46 0.120 0.171 0.241
Br19 0.500 0.500 0.500
Br20 0.625 0.875 0.250
Cs47 0.551 0.621 0.380
Cs48 0.380 0.121 0.551
```

***

Below is an optimized crystal structure of CsBr3F, with properties calculated at the PBE level.

Energy relative to the lowest polymorph listed for this composition in meV/atom: 79
Size of the total moment in μB per formula unit: 0.0
E_form (uncorrected) in eV per atom: -0.54
D(E_F) in states/eV/f.u.: 3.65
SG: Pm-3m

```
data_CsBr3F
_cell_length_a 5.184
_cell_length_b 5.184
_cell_length_c 5.184
_cell_angle_alpha 90.00
_cell_angle_beta 90.00
_cell_angle_gamma 90.00
_space_group_name_H-M_alt 'P 1'
_space_group_IT_number 1
loop_
_space_group_symop_operation_xyz
'x,y,z'
loop_
_atom_site_label
_atom_site_fract_x
_atom_site_fract_y
_atom_site_fract_z
Br1 0.500 0.000 0.000
Br2 0.000 0.500 0.000
Cs1 0.500 0.500 0.500
F1 0.000 0.000 0.000
Br3 0.000 0.000 0.500
```

***

Below is an optimized crystal structure of CsBr2F6, with properties calculated at the PBE level.

Size of the total moment in μB per formula unit: 1.0
E_form (uncorrected) in eV per atom: -1.27
D(E_F) in states/eV/f.u.: 0.71
SG: C2/c

```
data_CsBr2F6
_cell_length_a 8.629
_cell_length_b 8.629
_cell_length_c 8.709
_cell_angle_alpha 114.59
_cell_angle_beta 125.65
_cell_angle_gamma 89.53
_space_group_name_H-M_alt 'P 1'
_space_group_IT_number 1
loop_
_space_group_symop_operation_xyz
'x,y,z'
loop_
_atom_site_label
_atom_site_fract_x
_atom_site_fract_y
_atom_site_fract_z
F1 0.614 0.195 0.717
Cs1 0.410 0.160 0.250
Br1 0.581 0.383 0.915
Br2 0.032 0.335 0.415
F2 0.324 0.445 0.115
F3 0.830 0.209 0.385
F4 0.170 0.791 0.615
F5 0.022 0.103 0.217
F6 0.978 0.897 0.783
F7 0.512 0.797 0.059
F8 0.238 0.453 0.441
Br3 0.419 0.617 0.085
F9 0.676 0.555 0.885
F10 0.488 0.203 0.941
F11 0.386 0.805 0.283
Cs2 0.590 0.840 0.750
F12 0.762 0.547 0.559
Br4 0.968 0.665 0.585
```

***

Below is an optimized crystal structure of Cs2BrF2, with properties calculated at the PBE level.

Energy relative to the lowest polymorph listed for this composition in meV/atom: 138
Size of the total moment in μB per formula unit: 1.1
E_form (uncorrected) in eV per atom: -1.86
D(E_F) in states/eV/f.u.: 14.49
SG: I4/mmm

```
data_Cs2BrF2
_cell_length_a 8.344
_cell_length_b 8.344
_cell_length_c 8.344
_cell_angle_alpha 145.61
_cell_angle_beta 145.61
_cell_angle_gamma 49.43
_space_group_name_H-M_alt 'P 1'
_space_group_IT_number 1
loop_
_space_group_symop_operation_xyz
'x,y,z'
loop_
_atom_site_label
_atom_site_fract_x
_atom_site_fract_y
_atom_site_fract_z
Cs1 0.653 0.653 0.000
F1 0.250 0.750 0.500
Cs2 0.347 0.347 0.000
Br1 0.000 0.000 0.000
F2 0.750 0.250 0.500
```

***

Below is an optimized crystal structure of CsBrF5, with properties calculated at the PBE level.

Size of the total moment in μB per formula unit: 0.1
E_form (uncorrected) in eV per atom: -1.54
D(E_F) in states/eV/f.u.: 1.71
SG: C2/c

```
data_CsBrF5
_cell_length_a 7.337
_cell_length_b 7.337
_cell_length_c 7.329
_cell_angle_alpha 102.47
_cell_angle_beta 112.63
_cell_angle_gamma 113.58
_space_group_name_H-M_alt 'P 1'
_space_group_IT_number 1
loop_
_space_group_symop_operation_xyz
'x,y,z'
loop_
_atom_site_label
_atom_site_fract_x
_atom_site_fract_y
_atom_site_fract_z
Cs1 0.466 0.216 0.750
F1 0.039 0.789 0.750
Cs2 0.534 0.784 0.250
F2 0.234 0.501 0.734
Br1 0.000 0.000 0.000
F3 0.766 0.499 0.266
F4 0.767 0.000 0.766
F5 0.234 0.266 0.034
Br2 0.000 0.500 0.500
F6 0.766 0.734 0.966
F7 0.233 0.000 0.234
F8 0.233 0.700 0.466
F9 0.961 0.211 0.250
F10 0.767 0.300 0.534
```

***

Below is an optimized crystal structure of Cs2BrF, with properties calculated at the PBE level.

Energy relative to the lowest polymorph listed for this composition in meV/atom: 23
Size of the total moment in μB per formula unit: 0.0
E_form (uncorrected) in eV per atom: -2.17
D(E_F) in states/eV/f.u.: 0.00
SG: I-42d

```
data_Cs2BrF
_cell_length_a 8.388
_cell_length_b 8.388
_cell_length_c 7.667
_cell_angle_alpha 56.84
_cell_angle_beta 56.84
_cell_angle_gamma 90.00
_space_group_name_H-M_alt 'P 1'
_space_group_IT_number 1
loop_
_space_group_symop_operation_xyz
'x,y,z'
loop_
_atom_site_label
_atom_site_fract_x
_atom_site_fract_y
_atom_site_fract_z
Cs1 0.195 0.625 0.250
F1 0.250 0.750 0.500
Cs2 0.375 0.445 0.750
F2 0.500 0.500 0.000
Br1 0.750 0.250 0.500
Cs3 0.555 0.125 0.250
Cs4 0.875 0.805 0.750
Br2 0.000 0.000 0.000
```

***

Below is an optimized crystal structure of CsBr3F, with properties calculated at the PBE level.

Energy relative to the lowest polymorph listed for this composition in meV/atom: 0
Size of the total moment in μB per formula unit: 0.0
E_form (uncorrected) in eV per atom: -0.62
D(E_F) in states/eV/f.u.: 0.00
SG: I4/mmm

```
data_CsBr3F
_cell_length_a 7.763
_cell_length_b 7.763
_cell_length_c 7.773
_cell_angle_alpha 60.04
_cell_angle_beta 60.04
_cell_angle_gamma 90.00
_space_group_name_H-M_alt 'P 1'
_space_group_IT_number 1
loop_
_space_group_symop_operation_xyz
'x,y,z'
loop_
_atom_site_label
_atom_site_fract_x
_atom_site_fract_y
_atom_site_fract_z
Cs1 0.250 0.750 0.500
Br1 0.803 0.803 0.395
F1 0.500 0.500 0.000
Br2 0.717 0.283 0.000
Cs2 0.750 0.250 0.500
F2 0.000 0.000 0.000
Br3 0.717 0.717 0.000
Br4 0.283 0.717 0.000
Br5 0.283 0.283 0.000
Br6 0.197 0.197 0.605
```